# PBE-GGA LiUS2, optimized geometry
# * DFT total energy: -26.73 eV for the cell shown
# * ΔE_f (raw): -1.319 eV/atom
data_LiUS2
_cell_length_a 7.0514
_cell_length_b 7.0514
_cell_length_c 7.0514
_cell_angle_alpha 31.21
_cell_angle_beta 31.21
_cell_angle_gamma 31.21
_symmetry_space_group_name_H-M 'P 1'
_symmetry_Int_Tables_number 1
loop_
_symmetry_equiv_pos_as_xyz
'x,y,z'
loop_
_atom_site_label
_atom_site_fract_x
_atom_site_fract_y
_atom_site_fract_z
_atom_site_occupancy
Li1 0.0000 0.0000 0.0000 1
U1 0.8238 0.8238 0.8238 1
S1 0.2393 0.2393 0.2393 1
S2 0.4067 0.4067 0.4067 1